(1)
A relaxed structure of Hf3AgBi. Source: the Alexandria database, functional PBE.

a = 5.3341 Å, b = 5.3341 Å, c = 5.3341 Å
α = 90.00°, β = 90.00°, γ = 90.00°
Fractional coordinates of all 5 atoms:
Hf 0.0000 0.5000 0.0000
Hf 0.0000 0.0000 0.5000
Hf 0.5000 0.0000 0.0000
Bi 0.0000 0.0000 0.0000
Ag 0.5000 0.5000 0.5000

## Properties
DOS(E_F) in states/eV per atom: 0.717
Total moment in μB/cell: 0.000
DFT formation energy in eV/atom: 1.421

---

(2)
A relaxed structure of HfAgBi. Source: the Alexandria database, functional PBE.

a = 3.2216 Å, b = 3.2216 Å, c = 7.2606 Å
α = 102.82°, β = 102.82°, γ = 90.00°
Fractional coordinates of all 3 atoms:
Hf 0.6575 0.6575 0.3150
Bi 0.3260 0.3260 0.6520
Ag 0.0165 0.0165 0.0330

## Properties
DOS(E_F) in states/eV per atom: 0.317
Total moment in μB/cell: 0.000
DFT formation energy in eV/atom: 0.067

---

(3)
A relaxed structure of Hf2AgBi2. Source: the Alexandria database, functional PBE.

a = 7.8656 Å, b = 7.8656 Å, c = 3.9791 Å
α = 90.00°, β = 90.00°, γ = 90.00°
Fractional coordinates of all 10 atoms:
Hf 0.3603 0.8603 0.0000
Hf 0.8603 0.6397 0.0000
Hf 0.6397 0.1397 0.0000
Hf 0.1397 0.3603 0.0000
Bi 0.1601 0.6601 0.5000
Bi 0.6601 0.8399 0.5000
Bi 0.8399 0.3399 0.5000
Bi 0.3399 0.1601 0.5000
Ag 0.0000 0.0000 0.0000
Ag 0.5000 0.5000 0.0000

## Properties
DOS(E_F) in states/eV per atom: 0.926
Total moment in μB/cell: 0.001
DFT formation energy in eV/atom: 0.027